Co3Pt: relaxed, GGA-PBE.

Formation energy (kJ per mole of atoms): -2
Calculated total energy (eV per formula unit): -27.44
Spin magnetization (Bohr magnetons per cell): 5.5

Unit cell a=2.6348 b=2.6349 c=7.0708 alpha=90.00 beta=90.00 gamma=89.96
Last column: nearest neighbours and their distance in Å.
Fractional positions:
Co (0.0000, 0.0000, 0.9794)  8 Co 2.47-2.63, 4 Pt 2.67
Co (0.0000, 0.0000, 0.5206)  8 Co 2.47-2.63, 4 Pt 2.67
Co (0.5000, 0.5000, 0.7500)  12 Co 2.47-2.63
Pt (0.5000, 0.5000, 0.2500)  4 Pt 2.63, 8 Co 2.67